The following is a PBE calculation of a geometry-optimized Ce2Cd17 structure, from Alexandria.

It has space group R-3m (No. 166, hexagonal axes), with a = 10.0934 Å, b = 10.0934 Å, c = 15.0070 Å, α = 90.00°, β = 90.00° and γ = 120.00°. Symmetry generates all atoms from Ce at (0.0000, 0.0000, 0.1675), Cd at (0.0000, 0.0000, 0.3986), Cd at (0.0000, 0.2999, 0.5000), Cd at (0.0000, 0.5000, 0.0000) and Cd at (0.0138, 0.5069, 0.6475).

The calculation puts the total energy at -1.56 eV per atom. The total moment comes out at 0.119 μB/atom. The value obtained for the formation energy is -0.1191 eV/atom.

The following is a PBE calculation of a geometry-optimized CeCd4 structure, from Alexandria.

It has space group C2/m (No. 12), with a = 14.901 Å, b = 3.375 Å, c = 5.116 Å, α = 90.00°, β = 109.90° and γ = 90.00°. Symmetry generates all atoms from Ce at (0.000, 0.000, 0.000), Cd at (0.104, 0.500, 0.604) and Cd at (0.213, 0.500, 0.212).

The calculation puts the total energy at -2.07 eV per atom. As for the distance to the lowest polymorph of the same formula: 0.00 eV/f.u. The total moment comes out at 0.233 μB/atom. The value obtained for the formation energy is -0.1517 eV/atom.

The following is a PBE calculation of a geometry-optimized Ce5Cd3 structure, from Alexandria.

It has space group C2/m (No. 12), with a = 5.811 Å, b = 18.160 Å, c = 8.250 Å, α = 90.00°, β = 104.26° and γ = 90.00°. Symmetry generates all atoms from Ce at (0.081, 0.171, 0.189), Ce at (0.204, 0.102, 0.642), Ce at (0.249, 0.000, 0.907), Cd at (0.000, 0.270, 0.500), Cd at (0.000, 0.332, 0.000) and Cd at (0.199, 0.500, 0.678).

The calculation puts the total energy at -4.13 eV per atom. The total moment comes out at 0.269 μB/atom. The value obtained for the formation energy is -0.0772 eV/atom.

The following is a PBE calculation of a geometry-optimized Ce4Cd structure, from Alexandria.

It has space group Immm (No. 71), with a = 3.067 Å, b = 5.155 Å, c = 15.794 Å, α = 90.00°, β = 90.00° and γ = 90.00°. Symmetry generates all atoms from Ce at (0.000, 0.000, 0.105), Ce at (0.000, 0.500, 0.192) and Cd at (0.000, 0.000, 0.500).

The calculation puts the total energy at -4.98 eV per atom. As for the distance to the lowest polymorph of the same formula: 0.00 eV/f.u. The total moment comes out at 0.000 μB/atom. The value obtained for the formation energy is -0.0520 eV/atom.

The following is a PBE calculation of a geometry-optimized Ce8Cd3 structure, from Alexandria.

It has space group C2/m (No. 12), with a = 10.291 Å, b = 5.245 Å, c = 10.883 Å, α = 90.00°, β = 102.03° and γ = 90.00°. Symmetry generates all atoms from Ce at (0.066, 0.000, 0.334), Ce at (0.134, 0.000, 0.972), Ce at (0.207, 0.000, 0.578), Ce at (0.218, 0.500, 0.783), Cd at (0.000, 0.500, 0.500) and Cd at (0.079, 0.500, 0.138).

The calculation puts the total energy at -4.62 eV per atom. The total moment comes out at 0.186 μB/atom. The value obtained for the formation energy is -0.0527 eV/atom.

The following is a PBE calculation of a geometry-optimized Ce3Cd structure, from Alexandria.

It has space group Fm-3m (No. 225), with a = 7.563 Å, b = 7.563 Å, c = 7.563 Å, α = 90.00°, β = 90.00° and γ = 90.00°. Symmetry generates all atoms from Ce at (0.000, 0.000, 0.000), Ce at (0.250, 0.250, 0.250) and Cd at (0.000, 0.000, 0.500).

The calculation puts the total energy at -4.63 eV per atom. As for the distance to the lowest polymorph of the same formula: 0.38 eV/f.u. The total moment comes out at 1.190 μB/atom. The value obtained for the formation energy is 0.0461 eV/atom.

The following is a PBE calculation of a geometry-optimized Ce3Cd structure, from Alexandria.

It has space group I4/mmm (No. 139), with a = 4.732 Å, b = 4.732 Å, c = 9.630 Å, α = 90.00°, β = 90.00° and γ = 90.00°. Symmetry generates all atoms from Ce at (0.000, 0.000, 0.000), Ce at (0.000, 0.500, 0.250) and Cd at (0.000, 0.000, 0.500).

The calculation puts the total energy at -4.70 eV per atom. As for the distance to the lowest polymorph of the same formula: 0.12 eV/f.u. The total moment comes out at 0.619 μB/atom. The value obtained for the formation energy is -0.0192 eV/atom.

The following is a PBE calculation of a geometry-optimized Ce5Cd2 structure, from Alexandria.

It has space group C2/m (No. 12), with a = 10.790 Å, b = 4.155 Å, c = 8.269 Å, α = 90.00°, β = 103.46° and γ = 90.00°. Symmetry generates all atoms from Ce at (0.000, 0.000, 0.000), Ce at (0.166, 0.000, 0.444), Ce at (0.186, 0.500, 0.123) and Cd at (0.074, 0.500, 0.710).

The calculation puts the total energy at -4.55 eV per atom. The total moment comes out at 0.346 μB/atom. The value obtained for the formation energy is -0.0500 eV/atom.

The following is a PBE calculation of a geometry-optimized CeCd4 structure, from Alexandria.

It has space group I-43m (No. 217), with a = 10.060 Å, b = 10.060 Å, c = 10.060 Å, α = 90.00°, β = 90.00° and γ = 90.00°. Symmetry generates all atoms from Ce at (0.214, 0.214, 0.786), Cd at (0.000, 0.000, 0.349), Cd at (0.000, 0.250, 0.500) and Cd at (0.107, 0.107, 0.107).

The calculation puts the total energy at -1.99 eV per atom. As for the distance to the lowest polymorph of the same formula: 0.41 eV/f.u. The total moment comes out at 0.245 μB/atom. The value obtained for the formation energy is -0.0704 eV/atom.

The following is a PBE calculation of a geometry-optimized Ce3Cd structure, from Alexandria.

It has space group Pm-3m (No. 221), with a = 4.795 Å, b = 4.795 Å, c = 4.795 Å, α = 90.00°, β = 90.00° and γ = 90.00°. Symmetry generates all atoms from Ce at (0.000, 0.000, 0.500) and Cd at (0.500, 0.500, 0.500).

The calculation puts the total energy at -4.68 eV per atom. As for the distance to the lowest polymorph of the same formula: 0.18 eV/f.u. The total moment comes out at 0.731 μB/atom. The value obtained for the formation energy is -0.0038 eV/atom.

The following is a PBE calculation of a geometry-optimized CeCd4 structure, from Alexandria.

It has space group Pm-3m (No. 221), with a = 6.184 Å, b = 6.184 Å, c = 6.184 Å, α = 90.00°, β = 90.00° and γ = 90.00°. Symmetry generates all atoms from Ce at (0.000, 0.000, 0.000), Cd at (0.000, 0.000, 0.500) and Cd at (0.500, 0.500, 0.500).

The calculation puts the total energy at -1.12 eV per atom. As for the distance to the lowest polymorph of the same formula: 4.77 eV/f.u. The total moment comes out at 0.491 μB/atom. The value obtained for the formation energy is 0.8023 eV/atom.

The following is a PBE calculation of a geometry-optimized CeCd11 structure, from Alexandria.

It has space group I4_1/amd (No. 141, origin choice 2), with a = 11.932 Å, b = 11.932 Å, c = 7.805 Å, α = 90.00°, β = 90.00° and γ = 90.00°. Symmetry generates all atoms from Ce at (0.000, 0.250, 0.375), Cd at (0.000, 0.000, 0.000), Cd at (0.000, 0.250, 0.875) and Cd at (0.120, 0.047, 0.670).

The calculation puts the total energy at -1.41 eV per atom. As for the distance to the lowest polymorph of the same formula: 0.51 eV/f.u. The total moment comes out at 0.113 μB/atom. The value obtained for the formation energy is -0.0783 eV/atom.

The following is a PBE calculation of a geometry-optimized Ce2Cd3 structure, from Alexandria.

It has space group Cmcm (No. 63), with a = 3.247 Å, b = 30.733 Å, c = 5.093 Å, α = 90.00°, β = 90.00° and γ = 90.00°. Symmetry generates all atoms from Ce at (0.000, 0.073, 0.250), Ce at (0.000, 0.218, 0.750), Cd at (0.000, 0.328, 0.750), Cd at (0.000, 0.379, 0.250) and Cd at (0.000, 0.476, 0.250).

The calculation puts the total energy at -3.13 eV per atom. As for the distance to the lowest polymorph of the same formula: 0.00 eV/f.u. The total moment comes out at 0.486 μB/atom. The value obtained for the formation energy is -0.2043 eV/atom.